An optimized crystal structure of MnCr2Cl. Source: Alexandria, functional PBE.

Unit cell a=4.1579 b=4.1579 c=7.4964 alpha=90.00 beta=90.00 gamma=90.00
Closest atoms and distances in Å follow each position.
Space group I4/mmm (No. 139)
Inequivalent atoms, fractional coordinates:
Mn (0.0000, 0.0000, 0.0000) (multiplicity 2)  8 Cr 2.80, 4 Cl 2.94
Cr (0.0000, 0.5000, 0.2500) (multiplicity 4)  4 Cl 2.80, 4 Mn 2.80, 4 Cr 2.94
Cl (0.0000, 0.0000, 0.5000) (multiplicity 2)  8 Cr 2.80, 4 Mn 2.94

Output
Crystal system = tetragonal
Distance to the lowest polymorph of the same formula = 599 meV per atom
Formation energy from raw total energies = 0.69 eV per atom
DFT total energy = -27.5 eV/f.u.

An optimized crystal structure of Zr2AuC. Source: Alexandria, functional PBE.

Unit cell a=6.5110 b=6.5110 c=7.1803 alpha=90.00 beta=90.00 gamma=90.00
Closest atoms and distances in Å follow each position.
Space group I-42d (No. 122)
Inequivalent atoms, fractional coordinates:
Zr (0.1764, 0.2500, 0.1250) (multiplicity 8)  2 C 2.18
Au (0.0000, 0.0000, 0.5000) (multiplicity 4)  4 Zr 2.81
C (0.0000, 0.0000, 0.0000) (multiplicity 4)  4 Zr 2.18

Output
Crystal system = tetragonal
Calculated formation energy = -225.1 meV per atom
DFT total energy = -30.5 eV/f.u.

An optimized crystal structure of AcSm3Ru. Source: Alexandria, functional PBE.

Unit cell a=5.5649 b=5.5649 c=5.5649 alpha=90.00 beta=90.00 gamma=90.00
Closest atoms and distances in Å follow each position.
Space group Pm-3m (No. 221)
Inequivalent atoms, fractional coordinates:
Ac (0.0000, 0.0000, 0.0000) (multiplicity 1)  12 Sm 3.93
Sm (0.0000, 0.5000, 0.5000) (multiplicity 3)  2 Ru 2.78
Ru (0.5000, 0.5000, 0.5000) (multiplicity 1)  6 Sm 2.78

Output
Crystal system = cubic
Calculated formation energy = -41.6 meV per atom
Distance to the lowest polymorph of the same formula = 77 meV per atom
DFT total energy = -27.7 eV/f.u.

An optimized crystal structure of TaMn2Cl. Source: Alexandria, functional PBE.

Unit cell a=9.2234 b=2.8931 c=4.9284 alpha=90.00 beta=107.92 gamma=90.00
Closest atoms and distances in Å follow each position.
Space group Cm (No. 8)
Inequivalent atoms, fractional coordinates:
Ta (0.0000, 0.0000, 0.0000) (multiplicity 2)  3 Cl 2.59-2.63, 2 Mn 2.80, 2 Ta 2.89
Mn (0.2166, 0.0000, 0.6630) (multiplicity 2)  5 Mn 2.62-2.89, 2 Cl 2.68
Mn (0.4682, 0.0000, 0.4984) (multiplicity 2)  5 Mn 2.62-2.89, 2 Cl 2.66, 2 Ta 2.80
Cl (0.2506, 0.5000, 0.1369) (multiplicity 2)  3 Ta 2.59-2.63, 4 Mn 2.66-2.68, 2 Cl 2.89

Output
Crystal system = monoclinic
Distance to the lowest polymorph of the same formula = 393 meV per atom
Formation energy from raw total energies = 0.42 eV per atom
DFT total energy = -30.3 eV/f.u.

An optimized crystal structure of LiFe2Ru. Source: Alexandria, functional PBE.

Unit cell a=2.5899 b=3.6391 c=5.2016 alpha=90.00 beta=90.00 gamma=90.00
Closest atoms and distances in Å follow each position.
Space group Pmm2 (No. 25)
Inequivalent atoms, fractional coordinates:
Li (0.0000, 0.0000, 0.0000) (multiplicity 1)  6 Fe 2.55-2.61, 2 Li 2.59, 4 Ru 2.64
Fe (0.0000, 0.0000, 0.5019) (multiplicity 1)  4 Ru 2.53, 6 Fe 2.59-2.61, 2 Li 2.59-2.61
Fe (0.5000, 0.5000, 0.7614) (multiplicity 1)  2 Ru 2.55-2.66, 4 Li 2.55, 6 Fe 2.59-2.61
Ru (0.5000, 0.5000, 0.2720) (multiplicity 1)  6 Fe 2.53-2.66, 2 Ru 2.59, 4 Li 2.64

Output
Crystal system = orthorhombic
Calculated formation energy = 255.2 meV per atom
DFT total energy = -27.1 eV/f.u.

An optimized crystal structure of CrRe2Se. Source: Alexandria, functional PBE.

Unit cell a=2.9792 b=2.9792 c=6.4393 alpha=90.00 beta=90.00 gamma=90.00
Closest atoms and distances in Å follow each position.
Space group P4/mmm (No. 123)
Inequivalent atoms, fractional coordinates:
Cr (0.0000, 0.0000, 0.0000) (multiplicity 1)  8 Re 2.60
Re (0.5000, 0.5000, 0.2359) (multiplicity 2)  4 Cr 2.60, 4 Se 2.71
Se (0.0000, 0.0000, 0.5000) (multiplicity 1)  8 Re 2.71, 4 Se 2.98

Output
Crystal system = tetragonal
Distance to the lowest polymorph of the same formula = 107 meV per atom
Formation energy from raw total energies = 0.32 eV per atom
DFT total energy = -36.7 eV/f.u.

An optimized crystal structure of UVP2. Source: Alexandria, functional PBE.

Unit cell a=3.5238 b=3.5238 c=19.5301 alpha=90.00 beta=90.00 gamma=120.00
Closest atoms and distances in Å follow each position.
Space group R3m (No. 160, hexagonal axes)
Inequivalent atoms, fractional coordinates:
U (0.0000, 0.0000, 0.0000) (multiplicity 3)  6 P 2.75-2.85
V (0.0000, 0.0000, 0.1744) (multiplicity 3)  6 P 2.39-2.48
P (0.0000, 0.0000, 0.4356) (multiplicity 3)  3 V 2.48, 1 P 2.67
P (0.0000, 0.0000, 0.5722) (multiplicity 3)  3 V 2.39, 1 P 2.67

Output
Crystal system = trigonal
Calculated formation energy = -696.5 meV per atom
Distance to the lowest polymorph of the same formula = 81 meV per atom
DFT total energy = -34.0 eV/f.u.

An optimized crystal structure of CsZrV3. Source: Alexandria, functional PBE.

Unit cell a=5.0056 b=5.0056 c=5.0056 alpha=90.00 beta=90.00 gamma=90.00
Closest atoms and distances in Å follow each position.
Space group Pm-3m (No. 221)
Inequivalent atoms, fractional coordinates:
Cs (0.0000, 0.0000, 0.0000) (multiplicity 1)  12 V 3.54
Zr (0.5000, 0.5000, 0.5000) (multiplicity 1)  6 V 2.50
V (0.0000, 0.5000, 0.5000) (multiplicity 3)  2 Zr 2.50

Output
Crystal system = cubic
Calculated formation energy = 1974.7 meV per atom
Distance to the lowest polymorph of the same formula = 0 meV per atom
DFT total energy = -26.9 eV/f.u.

Please write out number 3 again, unchanged.
An optimized crystal structure of AcSm3Ru. Source: Alexandria, functional PBE.

Unit cell a=5.5649 b=5.5649 c=5.5649 alpha=90.00 beta=90.00 gamma=90.00
Closest atoms and distances in Å follow each position.
Space group Pm-3m (No. 221)
Inequivalent atoms, fractional coordinates:
Ac (0.0000, 0.0000, 0.0000) (multiplicity 1)  12 Sm 3.93
Sm (0.0000, 0.5000, 0.5000) (multiplicity 3)  2 Ru 2.78
Ru (0.5000, 0.5000, 0.5000) (multiplicity 1)  6 Sm 2.78

Output
Crystal system = cubic
Calculated formation energy = -41.6 meV per atom
Distance to the lowest polymorph of the same formula = 77 meV per atom
DFT total energy = -27.7 eV/f.u.

Repeat the third record exactly.
An optimized crystal structure of AcSm3Ru. Source: Alexandria, functional PBE.

Unit cell a=5.5649 b=5.5649 c=5.5649 alpha=90.00 beta=90.00 gamma=90.00
Closest atoms and distances in Å follow each position.
Space group Pm-3m (No. 221)
Inequivalent atoms, fractional coordinates:
Ac (0.0000, 0.0000, 0.0000) (multiplicity 1)  12 Sm 3.93
Sm (0.0000, 0.5000, 0.5000) (multiplicity 3)  2 Ru 2.78
Ru (0.5000, 0.5000, 0.5000) (multiplicity 1)  6 Sm 2.78

Output
Crystal system = cubic
Calculated formation energy = -41.6 meV per atom
Distance to the lowest polymorph of the same formula = 77 meV per atom
DFT total energy = -27.7 eV/f.u.